Here is an optimized crystal structure of LaRe7 from Alexandria via LeMat-Bulk. Energies are from PBE.

Output
The calculated density comes out at 18.27 g/cm³. The density of states at the Fermi level comes out at 1.9336 states/eV per atom. Its formation energy is 0.7089 eV per atom. As for the total energy: -10.799 eV per atom.

a b c (Å): 5.7021 5.7021 5.7021
angles (deg): 60.00 60.00 60.00
Closest atoms and distances in Å follow each position.
Fractional positions:
1 La 0.0000 0.0000 0.0000  12 Re 2.85
2 Re 0.0000 0.5000 0.5000  10 Re 2.85, 2 La 2.85
3 Re 0.5000 0.0000 0.5000  10 Re 2.85, 2 La 2.85
4 Re 0.5000 0.5000 0.0000  10 Re 2.85, 2 La 2.85
5 Re 0.0000 0.0000 0.5000  10 Re 2.85, 2 La 2.85
6 Re 0.0000 0.5000 0.0000  10 Re 2.85, 2 La 2.85
7 Re 0.5000 0.0000 0.0000  10 Re 2.85, 2 La 2.85
8 Re 0.5000 0.5000 0.5000  12 Re 2.85